Compound: CaTi2AuCl
Source: Alexandria
Functional: PBE
Structure: relaxed

Structure (POSCAR):
```
CaTi2AuCl
1.0
4.4864 0.0000 0.0000
0.0000 5.7200 0.0000
0.0000 0.0000 4.4864
Cl Au Ti Ca
1 1 2 1
direct
0.0000 0.0000 0.0000
0.0000 0.5000 0.0000
0.0000 0.0000 0.5000
0.5000 0.0000 0.0000
0.5000 0.5000 0.5000
```

## Properties
E_form (uncorrected)   0.10 eV per atom
Electronic total energy   -22.4 eV for the cell shown
Total moment   0.0 μB/f.u.

Compound: GdAlIr
Source: Alexandria
Functional: PBE
Structure: relaxed

Structure (POSCAR):
```
GdAlIr
1.0
-2.7441 -2.3199 1.4844
3.0448 -2.7055 1.4004
-1.3515 3.2155 2.5270
Gd Ir Al
1 1 1
direct
0.6667 0.3333 0.6667
0.1667 0.0000 0.0000
0.1666 0.6667 0.3333
```

## Properties
Electronic total energy   -28.9 eV for the cell shown
Total moment   7.1 μB/f.u.
Formation energy from the elements   -0.74 eV/atom

Compound: Ac3TbNd2
Source: Alexandria
Functional: PBE
Structure: relaxed

Structure (POSCAR):
```
Ac3TbNd2
1.0
7.0786 0.2633 1.1801
-1.8556 9.1442 1.4876
-0.3877 -0.2633 7.1658
Ac Nd Tb
6 4 2
direct
0.5561 0.2500 0.5561
0.1320 0.9780 0.7045
0.4439 0.7500 0.4439
0.8680 0.0220 0.2955
0.2955 0.4780 0.8680
0.7045 0.5220 0.1320
0.1161 0.3817 0.3839
0.8839 0.6183 0.6161
0.6161 0.8817 0.8839
0.3839 0.1183 0.1161
0.1209 0.7500 0.1209
0.8791 0.2500 0.8791
```

## Properties
Electronic total energy   -51.6 eV for the cell shown
Total moment   0.0 μB/f.u.
Formation energy from the elements   0.11 eV/atom

Compound: Ca2CeNdBi4
Source: Alexandria
Functional: PBE
Structure: relaxed

Structure (POSCAR):
```
Ca2CeNdBi4
1.0
4.6345 0.0000 0.0000
0.0000 8.0472 0.1356
0.0000 -2.8106 7.3695
Bi Ce Ca Nd
4 1 2 1
direct
0.0000 0.2480 0.7555
0.5000 0.2428 0.2408
0.0000 0.7520 0.2445
0.5000 0.7572 0.7592
0.0000 0.0000 0.0000
0.5000 0.0000 0.5000
0.0000 0.5000 0.5000
0.5000 0.5000 0.0000
```

## Properties
Electronic total energy   -36.4 eV for the cell shown
Total moment   0.0 μB/f.u.
Formation energy from the elements   -0.77 eV/atom

Compound: TlVCdRe2
Source: Alexandria
Functional: PBE
Structure: relaxed

Structure (POSCAR):
```
TlVCdRe2
1.0
-0.2610 0.2314 4.5474
5.0420 -0.9782 0.3392
0.8795 4.4716 -0.1771
Cd V Re Tl
1 1 2 1
direct
0.5000 0.5000 0.5000
0.0000 0.0000 0.0000
0.5000 0.0000 0.0000
0.0000 0.0000 0.5000
0.0000 0.5000 0.0000
```

## Properties
Electronic total energy   -29.7 eV for the cell shown
Total moment   0.0 μB/f.u.
Formation energy from the elements   1.52 eV/atom

Compound: Cs3TaPb2Se6
Source: Alexandria
Functional: PBE
Structure: relaxed

Structure (POSCAR):
```
Cs3TaPb2Se6
1.0
-6.2367 1.5422 3.9614
5.7008 -3.7082 3.2737
3.4218 7.7850 -0.0384
Cs Pb Se Ta
3 2 6 1
direct
0.8223 0.1777 0.5000
0.1777 0.8223 0.5000
0.5000 0.5000 0.5000
0.3348 0.6652 0.0000
0.6652 0.3348 0.0000
0.9396 0.6507 0.8183
0.0604 0.3493 0.1817
0.2246 0.2246 0.8132
0.6507 0.9396 0.8183
0.3493 0.0604 0.1817
0.7754 0.7754 0.1868
0.0000 0.0000 0.0000
```

## Properties
E_form (uncorrected)   -0.88 eV per atom
Electronic total energy   -53.3 eV for the cell shown
Total moment   0.0 μB/f.u.

Compound: Na2DyF6
Source: Alexandria
Functional: PBE
Structure: relaxed

Structure (POSCAR):
```
Na2DyF6
1.0
3.7019 -0.0003 -1.1966
-0.7696 4.5677 -2.3820
0.1812 0.6515 6.8855
F Na Dy
6 2 1
direct
0.1564 0.9185 0.3126
0.5000 0.7618 0.0000
0.8436 0.0815 0.6874
0.5000 0.2382 0.0000
0.1564 0.3941 0.3126
0.8436 0.6059 0.6874
0.6713 0.6713 0.3425
0.3287 0.3287 0.6575
0.0000 0.0000 0.0000
```

## Properties
E_form (uncorrected)   -3.05 eV per atom
Electronic total energy   -45.9 eV for the cell shown
Total moment   1.0 μB/f.u.

Compound: CoSn6Hg
Source: Alexandria
Functional: PBE
Structure: relaxed

Structure (POSCAR):
```
CoSn6Hg
1.0
-6.2928 0.1511 -4.5695
5.9188 1.4103 -4.8457
0.6495 -8.1565 3.4661
Sn Hg Co
12 2 2
direct
0.2880 0.1987 0.8066
0.8365 0.3760 0.2124
0.1478 0.3045 0.4523
0.1635 0.6240 0.7876
0.6079 0.5186 0.8066
0.7120 0.8013 0.1934
0.5042 0.1623 0.3537
0.8086 0.1505 0.6463
0.4958 0.8377 0.6463
0.1914 0.8495 0.3537
0.8522 0.6955 0.5477
0.3921 0.4814 0.1934
0.0000 0.5000 0.0000
0.5000 0.0000 0.0000
0.5000 0.5000 0.5000
0.0000 0.0000 0.5000
```

## Properties
Electronic total energy   -61.3 eV for the cell shown
Total moment   0.0 μB/f.u.
Excess energy over the best structure of this formula in the dataset   55 meV/atom
Formation energy from the elements   0.10 eV/atom

electronic total energy of number 2 (GdAlIr)? -28.9 eV for the cell shown

total moment of number 3 (Ac3TbNd2)? 0.0 μB/f.u.

total moment of number 7 (Na2DyF6)? 1.0 μB/f.u.